DFT (GGA-PBE) results for BaAc2Al after structural relaxation.

Properties
distance to the lowest polymorph of the same formula	0	meV per atom
DOS(E_F)	1.287	states/eV per atom

a = 4.020 Å, b = 4.020 Å, c = 10.344 Å
α = 90.00°, β = 90.00°, γ = 90.00°
Positions (direct):
Ac: 0.000 0.000 0.819
Ac: 0.000 0.000 0.181
Ba: 0.500 0.500 0.500
Al: 0.500 0.500 0.000


DFT (GGA-PBE) results for Ho4ZnCu3 after structural relaxation.

Properties
distance to the lowest polymorph of the same formula	0	meV per atom
DOS(E_F)	0.697	states/eV per atom

a = 3.468 Å, b = 4.927 Å, c = 9.833 Å
α = 90.00°, β = 90.00°, γ = 90.00°
Positions (direct):
Zn: 0.500 0.500 0.000
Ho: 0.000 0.000 0.500
Ho: 0.000 0.500 0.745
Ho: 0.000 0.000 0.000
Ho: 0.000 0.500 0.255
Cu: 0.500 0.000 0.248
Cu: 0.500 0.500 0.500
Cu: 0.500 0.000 0.752


DFT (GGA-PBE) results for Dy3P after structural relaxation.

Properties
uncorrected energy	-21.6	eV per cell
DOS(E_F)	0.736	states/eV per atom

a = 3.705 Å, b = 6.240 Å, c = 5.944 Å
α = 121.66°, β = 108.16°, γ = 90.00°
Positions (direct):
P: 0.000 0.067 0.000
Dy: 0.309 0.664 0.619
Dy: 0.500 0.389 0.000
Dy: 0.691 0.046 0.381


DFT (GGA-PBE) results for LaSm4Ho7 after structural relaxation.

Properties
distance to the lowest polymorph of the same formula	250	meV per atom
DOS(E_F)	1.665	states/eV per atom

a = 5.917 Å, b = 11.618 Å, c = 6.762 Å
α = 83.02°, β = 64.06°, γ = 75.25°
Positions (direct):
La: 0.000 0.000 0.000
Sm: 0.632 0.224 0.512
Sm: 0.368 0.776 0.488
Sm: 0.757 0.679 0.808
Sm: 0.243 0.321 0.192
Ho: 0.789 0.923 0.499
Ho: 0.211 0.077 0.501
Ho: 0.061 0.671 0.207
Ho: 0.939 0.329 0.793
Ho: 0.366 0.502 0.766
Ho: 0.500 0.000 0.000
Ho: 0.634 0.498 0.234


DFT (GGA-PBE) results for TiAl3Tl after structural relaxation.

Properties
distance to the lowest polymorph of the same formula	0	meV per atom
DOS(E_F)	0.807	states/eV per atom

a = 5.123 Å, b = 5.123 Å, c = 5.123 Å
α = 90.00°, β = 90.00°, γ = 90.00°
Positions (direct):
Tl: 0.500 0.500 0.500
Al: 0.000 0.500 0.000
Al: 0.000 0.000 0.500
Al: 0.500 0.000 0.000
Ti: 0.000 0.000 0.000


DFT (GGA-PBE) results for BaLaY2 after structural relaxation.

Properties
distance to the lowest polymorph of the same formula	35	meV per atom
DOS(E_F)	1.186	states/eV per atom

a = 6.453 Å, b = 6.453 Å, c = 6.622 Å
α = 80.50°, β = 80.50°, γ = 33.68°
Positions (direct):
Ba: 0.250 0.250 0.250
La: 0.750 0.750 0.750
Y: 0.006 0.006 0.983
Y: 0.494 0.494 0.517


Copy entry 1 word for word.
DFT (GGA-PBE) results for BaAc2Al after structural relaxation.

Properties
distance to the lowest polymorph of the same formula	0	meV per atom
DOS(E_F)	1.287	states/eV per atom

a = 4.020 Å, b = 4.020 Å, c = 10.344 Å
α = 90.00°, β = 90.00°, γ = 90.00°
Positions (direct):
Ac: 0.000 0.000 0.819
Ac: 0.000 0.000 0.181
Ba: 0.500 0.500 0.500
Al: 0.500 0.500 0.000


What did the first record say?
DFT (GGA-PBE) results for BaAc2Al after structural relaxation.

Properties
distance to the lowest polymorph of the same formula	0	meV per atom
DOS(E_F)	1.287	states/eV per atom

a = 4.020 Å, b = 4.020 Å, c = 10.344 Å
α = 90.00°, β = 90.00°, γ = 90.00°
Positions (direct):
Ac: 0.000 0.000 0.819
Ac: 0.000 0.000 0.181
Ba: 0.500 0.500 0.500
Al: 0.500 0.500 0.000